Mg3AlPd2: relaxed, PBE-GGA.

As for the magnetic moment: 0.00 μB/atom. Its crystal system is monoclinic. The value obtained for the formation energy is -0.512 eV per atom.

The structure belongs to space group C2/m (No. 12); the cell edges are 14.863, 3.576 and 4.303 Å and the angles 90.00°, 106.74° and 90.00°. The inequivalent atoms are Mg at (0.000, 0.000, 0.000), Mg at (0.181, 0.500, 0.180), Al at (0.000, 0.500, 0.500) and Pd at (0.125, 0.000, 0.625).